No. 1
The following is a DFT calculation (GGA-PBE) of FeSi2Sb after structural relaxation.

Computed properties:
* energy relative to the elements, uncorrected: 49.9 kJ/mol of atoms

a = 3.5495 Å, b = 4.8825 Å, c = 7.4990 Å
α = 90.00°, β = 90.00°, γ = 90.00°
Last column: nearest neighbours and their distance in Å.
Space group Imm2 (No. 44)
Symmetry-distinct sites (fractional):
Fe1 0.0000 0.0000 0.0000 (multiplicity 2)  2 Si 2.30
Si1 0.0000 0.0000 0.5682 (multiplicity 2)  2 Si 2.51, 2 Sb 2.76
Si2 0.0000 0.5000 0.3055 (multiplicity 2)  2 Fe 2.30, 2 Si 2.51
Sb1 0.0000 0.5000 0.7859 (multiplicity 2)  8 Si 2.76-3.02, 4 Fe 2.78-2.92

No. 2
The following is a DFT calculation (GGA-PBE) of FeSiSb2 after structural relaxation.

Computed properties:
* energy relative to the elements, uncorrected: 56.5 kJ/mol of atoms

a = 3.2829 Å, b = 4.7569 Å, c = 5.0765 Å
α = 90.00°, β = 90.00°, γ = 90.00°
Last column: nearest neighbours and their distance in Å.
Space group Pmmm (No. 47)
Symmetry-distinct sites (fractional):
Fe1 0.0000 0.0000 0.0000 (multiplicity 1)  8 Sb 2.89-3.02
Si1 0.0000 0.5000 0.5000 (multiplicity 1)  8 Sb 2.89-3.02
Sb1 0.5000 0.0000 0.5000 (multiplicity 1)  4 Si 2.89, 4 Fe 3.02
Sb2 0.5000 0.5000 0.0000 (multiplicity 1)  4 Fe 2.89, 4 Si 3.02

No. 3
The following is a DFT calculation (GGA-PBE) of FeSi2Sb after structural relaxation.

Computed properties:
* energy relative to the elements, uncorrected: 57.2 kJ/mol of atoms

a = 6.3278 Å, b = 6.3278 Å, c = 6.3278 Å
α = 90.00°, β = 90.00°, γ = 90.00°
Last column: nearest neighbours and their distance in Å.
Space group F-43m (No. 216)
Symmetry-distinct sites (fractional):
Fe1 0.0000 0.0000 0.0000 (multiplicity 4)  4 Si 2.74, 4 Sb 2.74
Si1 0.0000 0.0000 0.5000 (multiplicity 4)  4 Sb 2.74, 4 Si 2.74
Si2 0.2500 0.2500 0.7500 (multiplicity 4)  4 Fe 2.74, 4 Si 2.74
Sb1 0.2500 0.2500 0.2500 (multiplicity 4)  4 Fe 2.74, 4 Si 2.74

No. 4
The following is a DFT calculation (GGA-PBE) of FeSiSb after structural relaxation.

Computed properties:
* energy relative to the elements, uncorrected: 20.9 kJ/mol of atoms

a = 2.9897 Å, b = 2.9897 Å, c = 11.5035 Å
α = 90.00°, β = 90.00°, γ = 90.00°
Last column: nearest neighbours and their distance in Å.
Space group I4mm (No. 107)
Symmetry-distinct sites (fractional):
Fe1 0.0000 0.0000 0.0000 (multiplicity 2)  4 Si 2.40
Si1 0.0000 0.0000 0.5983 (multiplicity 2)  4 Fe 2.40
Sb1 0.0000 0.0000 0.3410 (multiplicity 2)  4 Fe 2.80, 1 Si 2.96, 4 Sb 2.99

no.,calculated total energy (eV/atom)
1,-5.341
2,-4.947
3,-5.265
4,-5.786